A plane-wave DFT calculation with PBE was carried out for an optimized crystal structure of FeAu3.

Unit cell a=2.928 b=2.928 c=27.401 alpha=90.00 beta=90.00 gamma=120.00
Sites, in units of the cell vectors:
Fe 0.000 0.000 0.000
Fe 0.333 0.667 0.667
Fe 0.667 0.333 0.333
Au 0.000 0.000 0.256
Au 0.000 0.000 0.500
Au 0.000 0.000 0.744
Au 0.333 0.667 0.167
Au 0.333 0.667 0.411
Au 0.333 0.667 0.923
Au 0.667 0.333 0.077
Au 0.667 0.333 0.589
Au 0.667 0.333 0.833

Results
Volume ... 16.96 A^3/atom
Total moment ... 3.13 μB/f.u.
Formation energy ... 0.14 eV per atom
Space group ... R-3m

A plane-wave DFT calculation with PBE was carried out for an optimized crystal structure of BeAsOs2.

Unit cell a=6.069 b=6.069 c=6.069 alpha=90.00 beta=90.00 gamma=90.00
Sites, in units of the cell vectors:
Be 0.000 0.000 0.000
Be 0.000 0.500 0.500
Be 0.500 0.000 0.500
Be 0.500 0.500 0.000
As 0.250 0.250 0.250
As 0.250 0.750 0.750
As 0.750 0.250 0.750
As 0.750 0.750 0.250
Os 0.000 0.000 0.500
Os 0.000 0.500 0.000
Os 0.250 0.250 0.750
Os 0.250 0.750 0.250
Os 0.500 0.000 0.000
Os 0.500 0.500 0.500
Os 0.750 0.250 0.250
Os 0.750 0.750 0.750

Results
Volume ... 13.97 A^3/atom
Total moment ... 0.00 μB/f.u.
Formation energy ... 0.56 eV per atom
ΔE to the lowest computed polymorph ... 0.437 eV per atom
Space group ... F-43m

A plane-wave DFT calculation with PBE was carried out for an optimized crystal structure of Nd2GaCu3Ge4.

Unit cell a=4.221 b=4.221 c=10.355 alpha=90.00 beta=90.00 gamma=90.00
Sites, in units of the cell vectors:
Nd 0.000 0.500 0.245
Nd 0.500 0.000 0.755
Ga 0.000 0.000 0.500
Cu 0.000 0.500 0.872
Cu 0.500 0.000 0.128
Cu 0.500 0.500 0.500
Ge 0.000 0.000 0.000
Ge 0.000 0.500 0.642
Ge 0.500 0.000 0.358
Ge 0.500 0.500 0.000

Results
Volume ... 18.45 A^3/atom
Total moment ... 0.00 μB/f.u.
Formation energy ... -0.48 eV per atom
Space group ... P-4m2

A plane-wave DFT calculation with PBE was carried out for an optimized crystal structure of TaSbCl2.

Unit cell a=3.084 b=4.784 c=5.554 alpha=90.00 beta=90.00 gamma=90.00
Sites, in units of the cell vectors:
Ta 0.000 0.000 0.000
Sb 0.500 0.000 0.500
Cl 0.000 0.500 0.500
Cl 0.500 0.500 0.000

Results
Volume ... 20.49 A^3/atom
Total moment ... 1.38 μB/f.u.
E_form (uncorrected) ... 0.212 eV per atom
ΔE to the lowest computed polymorph ... 0.812 eV per atom
Space group ... Pmmm

A plane-wave DFT calculation with PBE was carried out for an optimized crystal structure of Y3Pt.

Unit cell a=3.599 b=3.645 c=9.221 alpha=90.00 beta=90.00 gamma=90.00
Sites, in units of the cell vectors:
Y 0.000 0.000 0.000
Y 0.000 0.500 0.344
Y 0.500 0.500 0.720
Pt 0.500 0.000 0.481

Results
Volume ... 30.24 A^3/atom
Total moment ... 0.68 μB/f.u.
Formation energy ... -0.40 eV per atom
Space group ... Pmm2

A plane-wave DFT calculation with PBE was carried out for an optimized crystal structure of NaInSe2.

Unit cell a=4.326 b=4.326 c=7.354 alpha=90.00 beta=90.00 gamma=120.00
Sites, in units of the cell vectors:
Na 0.000 0.000 0.000
In 0.333 0.667 0.506
Se 0.333 0.667 0.841
Se 0.667 0.333 0.340

Results
Volume ... 29.79 A^3/atom
Total moment ... 0.00 μB/f.u.
E_form (uncorrected) ... -0.680 eV per atom
Space group ... P3m1

A plane-wave DFT calculation with PBE was carried out for an optimized crystal structure of Nd2Be3CdPt4.

Unit cell a=4.083 b=4.083 c=10.555 alpha=90.00 beta=90.00 gamma=90.00
Sites, in units of the cell vectors:
Nd 0.000 0.500 0.234
Nd 0.500 0.000 0.766
Be 0.000 0.500 0.890
Be 0.500 0.000 0.110
Be 0.500 0.500 0.500
Cd 0.000 0.000 0.500
Pt 0.000 0.000 0.000
Pt 0.000 0.500 0.668
Pt 0.500 0.000 0.332
Pt 0.500 0.500 0.000

Results
Volume ... 17.59 A^3/atom
Total moment ... 0.00 μB/f.u.
Formation energy ... -0.76 eV per atom
Space group ... P-4m2

A plane-wave DFT calculation with PBE was carried out for an optimized crystal structure of Pr4HgC.

Unit cell a=9.646 b=9.646 c=7.056 alpha=90.00 beta=90.00 gamma=148.01
Sites, in units of the cell vectors:
Pr 0.031 0.969 0.500
Pr 0.174 0.826 0.882
Pr 0.197 0.803 0.375
Pr 0.417 0.583 0.635
Pr 0.583 0.417 0.135
Pr 0.803 0.197 0.875
Pr 0.826 0.174 0.382
Pr 0.969 0.031 0.000
Hg 0.371 0.629 0.128
Hg 0.629 0.371 0.628
C 0.091 0.909 0.156
C 0.909 0.091 0.656

Results
Volume ... 28.99 A^3/atom
Total moment ... 0.00 μB/f.u.
Formation energy ... -0.11 eV per atom
ΔE to the lowest computed polymorph ... 0.000 eV per atom
Space group ... Cmc2_1

A plane-wave DFT calculation with PBE was carried out for an optimized crystal structure of Rb2H2I2O.

Unit cell a=13.574 b=4.587 c=8.936 alpha=90.00 beta=131.17 gamma=90.00
Sites, in units of the cell vectors:
Rb 0.000 0.000 0.243
Rb 0.000 0.000 0.757
Rb 0.500 0.500 0.243
Rb 0.500 0.500 0.757
H 0.094 0.500 0.595
H 0.406 0.000 0.405
H 0.594 0.000 0.595
H 0.906 0.500 0.405
I 0.213 0.500 0.212
I 0.287 0.000 0.788
I 0.713 0.000 0.212
I 0.787 0.500 0.788
O 0.000 0.500 0.500
O 0.500 0.000 0.500

Results
Volume ... 29.92 A^3/atom
Total moment ... 0.00 μB/f.u.
Energy ... -3.48 eV/atom
Space group ... C2/m

A plane-wave DFT calculation with PBE was carried out for an optimized crystal structure of La2Pr3Sm6Th.

Unit cell a=6.370 b=6.370 c=12.055 alpha=95.05 beta=95.05 gamma=119.99
Sites, in units of the cell vectors:
La 0.166 0.834 0.000
La 0.834 0.166 0.000
Pr 0.000 0.000 0.500
Pr 0.333 0.667 0.500
Pr 0.667 0.333 0.500
Sm 0.089 0.417 0.753
Sm 0.255 0.255 0.248
Sm 0.417 0.089 0.753
Sm 0.583 0.911 0.247
Sm 0.745 0.745 0.752
Sm 0.911 0.583 0.247
Th 0.500 0.500 0.000

Results
Volume ... 34.75 A^3/atom
Total moment ... 0.00 μB/f.u.
Formation energy ... 0.02 eV per atom
Space group ... C2/m

A plane-wave DFT calculation with PBE was carried out for an optimized crystal structure of Ba2TlSi2.

Unit cell a=5.538 b=5.538 c=12.028 alpha=90.00 beta=90.00 gamma=90.00
Sites, in units of the cell vectors:
Ba 0.000 0.500 0.250
Ba 0.000 0.500 0.750
Ba 0.500 0.000 0.250
Ba 0.500 0.000 0.750
Tl 0.000 0.000 0.000
Tl 0.500 0.500 0.500
Si 0.000 0.000 0.407
Si 0.000 0.000 0.593
Si 0.500 0.500 0.093
Si 0.500 0.500 0.907

Results
Volume ... 36.89 A^3/atom
Total moment ... 0.00 μB/f.u.
E_form (uncorrected) ... 0.026 eV per atom
ΔE to the lowest computed polymorph ... 0.396 eV per atom
Space group ... I4/mmm

A plane-wave DFT calculation with PBE was carried out for an optimized crystal structure of Si2PBr.

Unit cell a=6.545 b=6.545 c=6.545 alpha=90.00 beta=90.00 gamma=90.00
Sites, in units of the cell vectors:
Si 0.000 0.000 0.000
Si 0.000 0.500 0.500
Si 0.250 0.250 0.250
Si 0.250 0.750 0.750
Si 0.500 0.000 0.500
Si 0.500 0.500 0.000
Si 0.750 0.250 0.750
Si 0.750 0.750 0.250
P 0.000 0.000 0.500
P 0.000 0.500 0.000
P 0.500 0.000 0.000
P 0.500 0.500 0.500
Br 0.250 0.250 0.750
Br 0.250 0.750 0.250
Br 0.750 0.250 0.250
Br 0.750 0.750 0.750

Results
Volume ... 17.52 A^3/atom
Total moment ... 0.00 μB/f.u.
E_form (uncorrected) ... 0.829 eV per atom
ΔE to the lowest computed polymorph ... 0.761 eV per atom
Space group ... F-43m

A plane-wave DFT calculation with PBE was carried out for an optimized crystal structure of Ba2LiPb2.

Unit cell a=6.766 b=6.766 c=12.751 alpha=116.02 beta=116.02 gamma=45.91
Sites, in units of the cell vectors:
Ba 0.019 0.019 0.335
Ba 0.187 0.187 0.104
Ba 0.813 0.813 0.896
Ba 0.981 0.981 0.665
Li 0.274 0.274 0.638
Li 0.726 0.726 0.362
Pb 0.358 0.358 0.434
Pb 0.489 0.489 0.119
Pb 0.511 0.511 0.881
Pb 0.642 0.642 0.566

Results
Volume ... 36.87 A^3/atom
Total moment ... 0.00 μB/f.u.
Formation energy ... -0.49 eV per atom
ΔE to the lowest computed polymorph ... 0.000 eV per atom
Space group ... C2/m

A plane-wave DFT calculation with PBE was carried out for an optimized crystal structure of BaCrCo2.

Unit cell a=3.325 b=4.671 c=4.690 alpha=90.00 beta=90.00 gamma=90.00
Sites, in units of the cell vectors:
Ba 0.000 0.000 0.000
Cr 0.000 0.500 0.500
Co 0.500 0.000 0.500
Co 0.500 0.500 0.000

Results
Volume ... 18.21 A^3/atom
Total moment ... 6.04 μB/f.u.
Formation energy ... 1.06 eV per atom
ΔE to the lowest computed polymorph ... 0.664 eV per atom
Space group ... Pmmm

A plane-wave DFT calculation with PBE was carried out for an optimized crystal structure of BaCaO2.

Unit cell a=4.037 b=4.037 c=21.017 alpha=90.00 beta=90.00 gamma=120.00
Sites, in units of the cell vectors:
Ba 0.000 0.000 0.000
Ba 0.333 0.667 0.667
Ba 0.667 0.333 0.333
Ca 0.000 0.000 0.500
Ca 0.333 0.667 0.167
Ca 0.667 0.333 0.833
O 0.000 0.000 0.401
O 0.000 0.000 0.599
O 0.333 0.667 0.068
O 0.333 0.667 0.266
O 0.667 0.333 0.734
O 0.667 0.333 0.932

Results
Volume ... 24.72 A^3/atom
Total moment ... 0.00 μB/f.u.
E_form (uncorrected) ... -2.046 eV per atom
ΔE to the lowest computed polymorph ... 0.616 eV per atom
Space group ... R-3m

A plane-wave DFT calculation with PBE was carried out for an optimized crystal structure of Tb5Tl2Bi.

Unit cell a=8.885 b=8.885 c=8.885 alpha=122.67 beta=122.67 gamma=85.44
Sites, in units of the cell vectors:
Tb 0.000 0.000 0.000
Tb 0.002 0.502 0.803
Tb 0.199 0.002 0.500
Tb 0.301 0.801 0.803
Tb 0.498 0.301 0.500
Tb 0.500 0.500 0.000
Tb 0.502 0.699 0.500
Tb 0.699 0.199 0.197
Tb 0.801 0.998 0.500
Tb 0.998 0.498 0.197
Tl 0.149 0.351 0.500
Tl 0.351 0.851 0.202
Tl 0.649 0.149 0.798
Tl 0.851 0.649 0.500
Bi 0.250 0.250 0.000
Bi 0.750 0.750 0.000

Results
Volume ... 29.64 A^3/atom
Total moment ... 0.00 μB/f.u.
Formation energy ... -0.42 eV per atom
Space group ... I4/mcm

A plane-wave DFT calculation with PBE was carried out for an optimized crystal structure of Pu4OsRh.

Unit cell a=4.741 b=4.741 c=6.709 alpha=90.00 beta=90.00 gamma=90.00
Sites, in units of the cell vectors:
Pu 0.000 0.500 0.247
Pu 0.000 0.500 0.753
Pu 0.500 0.000 0.247
Pu 0.500 0.000 0.753
Os 0.000 0.000 0.000
Rh 0.500 0.500 0.500

Results
Volume ... 25.14 A^3/atom
Total moment ... 21.71 μB/f.u.
Formation energy ... -0.04 eV per atom
ΔE to the lowest computed polymorph ... 0.003 eV per atom
Space group ... P4/mmm

A plane-wave DFT calculation with PBE was carried out for an optimized crystal structure of HoTm2Zn2Ge2.

Unit cell a=11.161 b=11.161 c=11.161 alpha=21.18 beta=21.18 gamma=21.18
Sites, in units of the cell vectors:
Ho 0.000 0.000 0.000
Tm 0.125 0.125 0.125
Tm 0.875 0.875 0.875
Zn 0.389 0.389 0.389
Zn 0.611 0.611 0.611
Ge 0.263 0.263 0.263
Ge 0.737 0.737 0.737

Results
Volume ... 22.71 A^3/atom
Total moment ... 0.00 μB/f.u.
Formation energy ... -0.42 eV per atom
Space group ... R-3m

A plane-wave DFT calculation with PBE was carried out for an optimized crystal structure of V2CoRu.

Unit cell a=6.504 b=6.504 c=5.160 alpha=90.00 beta=90.00 gamma=90.00
Sites, in units of the cell vectors:
V 0.238 0.250 0.125
V 0.250 0.738 0.375
V 0.250 0.762 0.875
V 0.262 0.250 0.625
V 0.738 0.750 0.625
V 0.750 0.238 0.875
V 0.750 0.262 0.375
V 0.762 0.750 0.125
Co 0.000 0.000 0.000
Co 0.000 0.500 0.250
Co 0.500 0.000 0.750
Co 0.500 0.500 0.500
Ru 0.000 0.000 0.500
Ru 0.000 0.500 0.750
Ru 0.500 0.000 0.250
Ru 0.500 0.500 0.000

Results
Volume ... 13.64 A^3/atom
Total moment ... 0.00 μB/f.u.
Formation energy ... 0.34 eV per atom
Space group ... I-42d

A plane-wave DFT calculation with PBE was carried out for an optimized crystal structure of OsPbOF2.

Unit cell a=4.655 b=4.655 c=4.298 alpha=90.00 beta=90.00 gamma=90.00
Sites, in units of the cell vectors:
Os 0.000 0.000 0.000
Pb 0.500 0.500 0.500
O 0.500 0.500 0.000
F 0.000 0.500 0.500
F 0.500 0.000 0.500

Results
Volume ... 18.63 A^3/atom
Total moment ... 4.95 μB/f.u.
E_form (uncorrected) ... 0.155 eV per atom
ΔE to the lowest computed polymorph ... 0.959 eV per atom
Space group ... P4/mmm